(1)
CaTl3Cd3 (GGA-PBE, relaxed); total energy = -1.407 eV per atom; crystal system = cubic; energy of formation from the pure elements = 27.5 kJ/mol of atoms
1.0
8.102 0.000 0.000
0.000 8.102 0.000
0.000 0.000 8.102
Ca Tl Cd
2 6 6
direct
0.000 0.000 0.000
0.500 0.500 0.500
0.000 0.250 0.500
0.000 0.750 0.500
0.250 0.500 0.000
0.500 0.000 0.250
0.500 0.000 0.750
0.750 0.500 0.000
0.000 0.500 0.250
0.000 0.500 0.750
0.250 0.000 0.500
0.500 0.250 0.000
0.500 0.750 0.000
0.750 0.000 0.500

=====

(2)
InSiW (GGA-PBE, relaxed); raw formation energy = 0.87 eV/atom; total energy = -6.164 eV per atom; crystal system = cubic
1.0
0.000 3.125 3.125
3.125 0.000 3.125
3.125 3.125 0.000
In Si W
1 1 1
direct
0.000 0.000 0.000
0.500 0.500 0.500
0.750 0.750 0.750

=====

(3)
TaMnAu2 (GGA-PBE, relaxed); total energy = -6.769 eV per atom; crystal system = monoclinic; energy of formation from the pure elements = 12.0 kJ/mol of atoms
1.0
4.793 -1.453 0.000
4.793 1.453 0.000
-0.853 0.000 4.844
Ta Mn Au
1 1 2
direct
0.000 0.000 0.000
0.500 0.500 0.500
0.249 0.249 0.748
0.751 0.751 0.252

=====

(4)
ScU4C5 (GGA-PBE, relaxed); total energy = -9.971 eV per atom; crystal system = orthorhombic; energy of formation from the pure elements = -20.3 kJ/mol of atoms
1.0
-1.726 2.442 8.663
1.726 -2.442 8.663
1.726 2.442 -8.663
Sc U C
1 4 5
direct
0.000 0.000 0.000
0.198 0.198 0.000
0.402 0.402 0.000
0.598 0.598 0.000
0.802 0.802 0.000
0.100 0.600 0.500
0.302 0.802 0.500
0.500 0.000 0.500
0.698 0.198 0.500
0.900 0.400 0.500

=====

(5)
NbRu2RhF (GGA-PBE, relaxed); raw formation energy = 0.61 eV/atom; total energy = -6.960 eV per atom; crystal system = tetragonal
1.0
4.759 0.000 0.000
0.000 4.759 0.000
0.000 0.000 3.919
Nb Ru Rh F
1 2 1 1
direct
0.000 0.000 0.000
0.000 0.500 0.000
0.500 0.000 0.000
0.500 0.500 0.500
0.000 0.000 0.500

=====

(6)
SrLi2AuN (GGA-PBE, relaxed); raw formation energy = -0.43 eV/atom; total energy = -3.853 eV per atom; crystal system = orthorhombic
1.0
1.863 -6.520 0.000
1.863 6.520 0.000
0.000 0.000 7.540
Sr Li Au N
2 4 2 2
direct
0.028 0.972 0.750
0.972 0.028 0.250
0.355 0.645 0.551
0.355 0.645 0.949
0.645 0.355 0.051
0.645 0.355 0.449
0.243 0.757 0.250
0.757 0.243 0.750
0.500 0.500 0.000
0.500 0.500 0.500

=====

(7)
AsPdO2F (GGA-PBE, relaxed); raw formation energy = -0.45 eV/atom; total energy = -4.772 eV per atom; crystal system = tetragonal
1.0
3.901 0.000 0.000
0.000 3.901 0.000
0.000 0.000 4.088
As Pd O F
1 1 2 1
direct
0.000 0.000 0.000
0.500 0.500 0.500
0.000 0.500 0.000
0.500 0.000 0.000
0.000 0.000 0.500

=====

(8)
La8TlCd2 (GGA-PBE, relaxed); total energy = -4.109 eV per atom; crystal system = orthorhombic; energy of formation from the pure elements = -13.9 kJ/mol of atoms
1.0
-2.647 4.446 7.795
2.647 -4.446 7.795
2.647 4.446 -7.795
La Tl Cd
8 1 2
direct
0.122 0.345 0.777
0.140 0.140 0.000
0.326 0.000 0.326
0.433 0.655 0.777
0.567 0.345 0.223
0.674 0.000 0.674
0.860 0.860 0.000
0.878 0.655 0.223
0.000 0.500 0.500
0.303 0.803 0.500
0.697 0.197 0.500

=====

(9)
TaPd2O (GGA-PBE, relaxed); raw formation energy = -0.26 eV/atom; total energy = -7.062 eV per atom; crystal system = tetragonal
1.0
-4.007 4.007 1.985
4.007 -4.007 1.985
4.007 4.007 -1.985
Ta Pd O
2 4 2
direct
0.000 0.000 0.000
0.750 0.250 0.500
0.232 0.625 0.107
0.375 0.482 0.607
0.518 0.125 0.893
0.875 0.768 0.393
0.250 0.750 0.500
0.500 0.500 0.000

=====

(10)
La2Er2Tl7 (GGA-PBE, relaxed); total energy = -3.385 eV per atom; crystal system = monoclinic; energy of formation from the pure elements = -14.8 kJ/mol of atoms
1.0
6.490 -5.610 0.000
6.490 5.610 0.000
-1.947 0.000 4.665
La Er Tl
2 2 7
direct
0.202 0.798 0.000
0.798 0.202 0.000
0.252 0.252 0.550
0.748 0.748 0.450
0.000 0.000 0.500
0.082 0.568 0.318
0.422 0.422 0.184
0.432 0.918 0.682
0.568 0.082 0.318
0.578 0.578 0.816
0.918 0.432 0.682

=====

(11)
Al2CuNi2 (GGA-PBE, relaxed); total energy = -4.968 eV per atom; crystal system = trigonal; energy of formation from the pure elements = -32.7 kJ/mol of atoms
1.0
4.013 0.000 0.000
-2.007 3.475 0.000
0.000 0.000 4.864
Al Cu Ni
2 1 2
direct
0.333 0.667 0.339
0.667 0.333 0.661
0.000 0.000 0.000
0.333 0.667 0.840
0.667 0.333 0.160

=====

(12)
NbSiIr (GGA-PBE, relaxed); raw formation energy = -0.82 eV/atom; total energy = -8.936 eV per atom; crystal system = monoclinic
1.0
6.447 0.000 0.000
0.000 3.829 0.000
-0.121 0.000 11.024
Nb Si Ir
6 6 6
direct
0.018 0.250 0.210
0.348 0.750 0.578
0.470 0.750 0.884
0.530 0.250 0.116
0.652 0.250 0.422
0.982 0.750 0.790
0.236 0.750 0.084
0.238 0.250 0.415
0.273 0.250 0.751
0.727 0.750 0.249
0.762 0.750 0.585
0.764 0.250 0.916
0.017 0.250 0.592
0.147 0.250 0.960
0.363 0.750 0.293
0.637 0.250 0.707
0.853 0.750 0.040
0.983 0.750 0.408

=====

Repeat the tenth record exactly.
La2Er2Tl7 (GGA-PBE, relaxed); total energy = -3.385 eV per atom; crystal system = monoclinic; energy of formation from the pure elements = -14.8 kJ/mol of atoms
1.0
6.490 -5.610 0.000
6.490 5.610 0.000
-1.947 0.000 4.665
La Er Tl
2 2 7
direct
0.202 0.798 0.000
0.798 0.202 0.000
0.252 0.252 0.550
0.748 0.748 0.450
0.000 0.000 0.500
0.082 0.568 0.318
0.422 0.422 0.184
0.432 0.918 0.682
0.568 0.082 0.318
0.578 0.578 0.816
0.918 0.432 0.682

=====

Q: What is the formula in the tenth record?
A: La2Er2Tl7

=====

Q: Look up the total energy of the ninth one.
A: -7.062 eV per atom